[1]
This record from Alexandria via LeMat-Bulk describes Sm3Ho6Tm2Mg after structural relaxation. The functional is GGA-PBE.

Unit cell a=6.140 b=10.638 c=11.496 alpha=90.00 beta=100.31 gamma=90.00
Space group C2/m (No. 12)
Asymmetric unit:
Sm: 0.000 0.000 0.000 (multiplicity 2)
Sm: 0.000 0.334 0.000 (multiplicity 4)
Ho: 0.248 0.000 0.745 (multiplicity 4)
Ho: 0.248 0.333 0.745 (multiplicity 8)
Tm: 0.000 0.167 0.500 (multiplicity 4)
Mg: 0.000 0.500 0.500 (multiplicity 2)

Results
Crystal system ... monoclinic

=====

[2]
This record from Alexandria via LeMat-Bulk describes Sm6Ho3Tm2Mg after structural relaxation. The functional is GGA-PBE.

Unit cell a=6.170 b=10.693 c=11.665 alpha=90.00 beta=100.21 gamma=90.00
Space group C2/m (No. 12)
Asymmetric unit:
Sm: 0.248 0.167 0.248 (multiplicity 8)
Sm: 0.249 0.500 0.249 (multiplicity 4)
Ho: 0.000 0.166 0.500 (multiplicity 4)
Ho: 0.000 0.500 0.500 (multiplicity 2)
Tm: 0.000 0.334 0.000 (multiplicity 4)
Mg: 0.000 0.000 0.000 (multiplicity 2)

Results
Crystal system ... monoclinic

=====

[3]
This record from Alexandria via LeMat-Bulk describes SmHo2Tm2Mg5 after structural relaxation. The functional is GGA-PBE.

Unit cell a=10.549 b=10.549 c=5.083 alpha=90.00 beta=90.00 gamma=90.00
Space group P4/mbm (No. 127)
Asymmetric unit:
Sm: 0.000 0.000 0.000 (multiplicity 2)
Ho: 0.178 0.322 0.000 (multiplicity 4)
Tm: 0.117 0.617 0.000 (multiplicity 4)
Mg: 0.000 0.500 0.500 (multiplicity 2)
Mg: 0.075 0.802 0.500 (multiplicity 8)

Results
Crystal system ... tetragonal

=====

| no. | DFT formation energy (meV per atom) | M_tot (Bohr magnetons per cell) | DFT total energy (eV/atom) |
| --- | --- | --- | --- |
| 1 | 35 | 0.00 | -4.311 |
| 2 | 26 | 0.00 | -4.356 |
| 3 | 81 | 0.00 | -2.999 |